[1]
The following is a DFT calculation (PBE) of a geometry-optimized Ba2LaCl structure.

Calculated values
Symmetry: P4mm, No. 99
Formation energy (no corrections): -0.6150 eV/atom
ΔE to the lowest computed polymorph: 140 meV per atom

a = 4.0784 Å, b = 4.0786 Å, c = 11.2424 Å
α = 90.00°, β = 90.00°, γ = 90.00°
With the nearest neighbours (Å) after each atom.
Sites, in units of the cell vectors:
Cl  0.0000  0.0000  0.3063  5 Ba 3.15-3.28
Ba  0.0000  0.0000  0.0143  1 Cl 3.28
Ba  0.5000  0.5000  0.4182  4 Cl 3.15
La  0.5000  0.5000  0.7612  5 Ba 3.86-4.05, 4 La 4.08

---

[2]
The following is a DFT calculation (PBE) of a geometry-optimized Ba2LaCl structure.

Calculated values
Symmetry: Cmmm, No. 65
Formation energy (no corrections): -0.4333 eV/atom
ΔE to the lowest computed polymorph: 321 meV per atom

a = 9.5627 Å, b = 6.5242 Å, c = 3.9428 Å
α = 90.00°, β = 65.65°, γ = 127.46°
With the nearest neighbours (Å) after each atom.
Sites, in units of the cell vectors:
Cl  0.0000  0.5000  0.5000  8 Ba 3.81, 2 Cl 3.94
Ba  0.0000  0.0000  0.0000  4 La 3.81, 4 Cl 3.81, 2 Ba 3.94
Ba  0.5000  0.0000  0.5000  4 Cl 3.81, 4 La 3.81, 2 Ba 3.94
La  0.5000  0.5000  0.0000  8 Ba 3.81, 2 La 3.94

---

[3]
The following is a DFT calculation (PBE) of a geometry-optimized BaLa2Cl structure.

Calculated values
Symmetry: I-4m2, No. 119
Formation energy (no corrections): -0.1197 eV/atom
ΔE to the lowest computed polymorph: 585 meV per atom

a = 6.6268 Å, b = 6.6268 Å, c = 6.6268 Å
α = 135.35°, β = 135.35°, γ = 64.98°
With the nearest neighbours (Å) after each atom.
Sites, in units of the cell vectors:
Cl  0.7500  0.2500  0.5000  8 La 3.56-3.76, 4 Ba 3.76
Ba  0.5000  0.5000  0.0000  8 La 3.56-3.76, 4 Cl 3.76
La  0.0000  0.0000  0.0000  4 Ba 3.56, 4 Cl 3.76, 4 La 3.76
La  0.2500  0.7500  0.5000  4 Cl 3.56, 4 La 3.76, 4 Ba 3.76

---

[4]
The following is a DFT calculation (PBE) of a geometry-optimized BaLa2Cl structure.

Calculated values
Symmetry: Cm, No. 8
Formation energy (no corrections): -0.4958 eV/atom
ΔE to the lowest computed polymorph: 209 meV per atom

a = 6.4717 Å, b = 6.4717 Å, c = 7.3448 Å
α = 67.63°, β = 67.63°, γ = 34.19°
With the nearest neighbours (Å) after each atom.
Sites, in units of the cell vectors:
Cl  0.2556  0.2556  0.1561  4 La 3.01-3.13, 2 Ba 3.27
Ba  0.5545  0.5545  0.4783  2 Cl 3.27
La  0.9615  0.9615  0.0264  2 Cl 3.01
La  0.7284  0.7284  0.8393  2 Cl 3.13

---

[5]
The following is a DFT calculation (PBE) of a geometry-optimized BaLa2Cl structure.

Calculated values
Symmetry: P4/mmm, No. 123
Formation energy (no corrections): -0.2017 eV/atom
ΔE to the lowest computed polymorph: 503 meV per atom

a = 6.0789 Å, b = 6.0789 Å, c = 3.7511 Å
α = 90.00°, β = 90.00°, γ = 90.00°
With the nearest neighbours (Å) after each atom.
Sites, in units of the cell vectors:
Cl  0.0000  0.5000  0.5000  8 La 3.57, 2 Cl 3.75
Ba  0.5000  0.0000  0.5000  8 La 3.57, 2 Ba 3.75
La  0.0000  0.0000  0.0000  4 Ba 3.57, 4 Cl 3.57, 2 La 3.75
La  0.5000  0.5000  0.0000  4 Ba 3.57, 4 Cl 3.57, 2 La 3.75

---

[6]
The following is a DFT calculation (PBE) of a geometry-optimized BaLaCl3 structure.

Calculated values
Symmetry: Pm-3m, No. 221
Formation energy (no corrections): -1.6834 eV/atom

a = 5.6228 Å, b = 5.6228 Å, c = 5.6228 Å
α = 90.00°, β = 90.00°, γ = 90.00°
With the nearest neighbours (Å) after each atom.
Sites, in units of the cell vectors:
Cl  0.0000  0.5000  0.0000  2 La 2.81
Cl  0.0000  0.0000  0.5000  2 La 2.81
Cl  0.5000  0.0000  0.0000  2 La 2.81
Ba  0.5000  0.5000  0.5000  12 Cl 3.98
La  0.0000  0.0000  0.0000  6 Cl 2.81

---

[7]
The following is a DFT calculation (PBE) of a geometry-optimized BaLa2Cl structure.

Calculated values
Symmetry: Cmm2, No. 35
Formation energy (no corrections): -0.6331 eV/atom
ΔE to the lowest computed polymorph: 72 meV per atom

a = 3.8454 Å, b = 3.8454 Å, c = 10.7477 Å
α = 90.00°, β = 90.00°, γ = 109.91°
With the nearest neighbours (Å) after each atom.
Sites, in units of the cell vectors:
Cl  0.5000  0.5000  0.7675  2 La 3.12, 2 Ba 3.30
Ba  0.0000  0.0000  0.5394  2 Cl 3.30
La  0.0000  0.0000  0.9731  2 Cl 3.12, 2 La 3.45
La  0.5000  0.5000  0.2201  6 La 3.45-3.85

---

[8]
The following is a DFT calculation (PBE) of a geometry-optimized Ba2LaCl structure.

Calculated values
Symmetry: Fm-3m, No. 225
Formation energy (no corrections): -0.0932 eV/atom
ΔE to the lowest computed polymorph: 662 meV per atom

a = 6.3181 Å, b = 6.3181 Å, c = 6.3181 Å
α = 60.00°, β = 60.00°, γ = 60.00°
With the nearest neighbours (Å) after each atom.
Sites, in units of the cell vectors:
Cl  0.0000  0.0000  0.0000  8 Ba 3.87
Ba  0.2500  0.2500  0.2500  4 La 3.87, 4 Cl 3.87
Ba  0.7500  0.7500  0.7500  4 La 3.87, 4 Cl 3.87
La  0.5000  0.5000  0.5000  8 Ba 3.87

---

[9]
The following is a DFT calculation (PBE) of a geometry-optimized BaLa2Cl structure.

Calculated values
Symmetry: I4/mmm, No. 139
Formation energy (no corrections): -0.3744 eV/atom
ΔE to the lowest computed polymorph: 330 meV per atom

a = 8.6678 Å, b = 8.6678 Å, c = 8.6678 Å
α = 149.53°, β = 149.53°, γ = 43.63°
With the nearest neighbours (Å) after each atom.
Sites, in units of the cell vectors:
Cl  0.7500  0.2500  0.5000  4 Ba 3.22
Ba  0.2500  0.7500  0.5000  4 Cl 3.22
La  0.0000  0.0000  0.0000  4 La 3.22
La  0.5000  0.5000  0.0000  4 La 3.22

---

[10]
The following is a DFT calculation (PBE) of a geometry-optimized BaLa2Cl structure.

Calculated values
Symmetry: P4/mmm, No. 123
Formation energy (no corrections): -0.3728 eV/atom
ΔE to the lowest computed polymorph: 332 meV per atom

a = 8.1057 Å, b = 4.5520 Å, c = 4.5520 Å
α = 90.00°, β = 90.00°, γ = 90.00°
With the nearest neighbours (Å) after each atom.
Sites, in units of the cell vectors:
Cl  0.5000  0.0000  0.5000  4 Ba 3.22
Ba  0.5000  0.5000  0.0000  4 Cl 3.22
La  0.0000  0.0000  0.0000  4 La 3.22
La  0.0000  0.5000  0.5000  4 La 3.22

---

[11]
The following is a DFT calculation (PBE) of a geometry-optimized Ba2LaCl structure.

Calculated values
Symmetry: P4/mmm, No. 123
Formation energy (no corrections): -0.6789 eV/atom
ΔE to the lowest computed polymorph: 76 meV per atom

a = 3.9135 Å, b = 3.9139 Å, c = 10.8070 Å
α = 90.00°, β = 90.00°, γ = 90.00°
With the nearest neighbours (Å) after each atom.
Sites, in units of the cell vectors:
Cl  0.5000  0.5000  0.2500  8 Ba 3.58, 4 Cl 3.91
Ba  0.0000  0.0000  0.0401  4 Cl 3.58, 4 Ba 3.91
Ba  0.0000  0.0000  0.4599  4 Cl 3.58, 4 Ba 3.91
La  0.5000  0.5000  0.7500  4 La 3.91, 8 Ba 4.18

---

[12]
The following is a DFT calculation (PBE) of a geometry-optimized Ba2LaCl7 structure.

Calculated values
Symmetry: C2/c, No. 15
Formation energy (no corrections): -2.4549 eV/atom
ΔE to the lowest computed polymorph: 33 meV per atom

a = 9.1877 Å, b = 9.1877 Å, c = 10.1939 Å
α = 60.64°, β = 60.64°, γ = 52.73°
With the nearest neighbours (Å) after each atom.
Sites, in units of the cell vectors:
Ba  0.3039  0.3140  0.7914  8 Cl 3.13-3.38
Ba  0.6860  0.6961  0.7086  8 Cl 3.13-3.38
Ba  0.3140  0.3039  0.2914  8 Cl 3.13-3.38
Ba  0.6961  0.6860  0.2086  8 Cl 3.13-3.38
La  0.9893  0.0107  0.7500  9 Cl 2.91-3.09
La  0.0107  0.9893  0.2500  9 Cl 2.91-3.09
Cl  0.6852  0.9235  0.8580  1 La 2.91, 3 Ba 3.13-3.21, 2 Cl 3.24-3.25
Cl  0.8810  0.3806  0.0324  1 La 2.97, 2 Ba 3.19-3.28
Cl  0.6194  0.1190  0.4676  1 La 2.97, 2 Ba 3.19-3.28
Cl  0.9235  0.6852  0.3580  1 La 2.91, 3 Ba 3.13-3.21, 2 Cl 3.24-3.25
Cl  0.0651  0.7587  0.5822  2 La 3.09, 3 Cl 3.25-3.44, 2 Ba 3.35-3.38
Cl  0.3723  0.6277  0.2500  1 La 2.95, 2 Ba 3.13
Cl  0.7587  0.0651  0.0822  2 La 3.09, 3 Cl 3.25-3.44, 2 Ba 3.35-3.38
Cl  0.2413  0.9349  0.9178  2 La 3.09, 3 Cl 3.25-3.44, 2 Ba 3.35-3.38
Cl  0.6277  0.3723  0.7500  1 La 2.95, 2 Ba 3.13
Cl  0.9349  0.2413  0.4178  2 La 3.09, 3 Cl 3.25-3.44, 2 Ba 3.35-3.38
Cl  0.0765  0.3148  0.6420  1 La 2.91, 3 Ba 3.13-3.21, 2 Cl 3.24-3.25
Cl  0.3806  0.8810  0.5324  1 La 2.97, 2 Ba 3.19-3.28
Cl  0.1190  0.6194  0.9676  1 La 2.97, 2 Ba 3.19-3.28
Cl  0.3148  0.0765  0.1420  1 La 2.91, 3 Ba 3.13-3.21, 2 Cl 3.24-3.25